DFT (GGA-PBE) results for crystalline BeNiPt2 at its relaxed geometry.

extended XYZ file:
```
4
Lattice="4.664 0.000 0.000 1.790 4.307 0.000 -3.227 -2.153 2.589" Properties=species:S:1:pos:R:3 pbc="T T T"
Ni 2.332 0.000 1.295
Pt 0.000 0.000 0.000
Pt 0.895 2.154 1.295
Be 3.227 2.153 0.000
```

## Properties
formation energy from the elements	-0.23	eV/atom
density	14.61	g cm⁻³

---

DFT (GGA-PBE) results for crystalline ScBeNiPt at its relaxed geometry.

extended XYZ file:
```
4
Lattice="-0.639 -1.375 4.008 -3.564 -2.169 0.978 0.216 -4.187 0.889" Properties=species:S:1:pos:R:3 pbc="T T T"
Sc 0.000 0.000 0.000
Ni -0.997 -1.933 1.469
Pt -2.990 -5.798 4.407
Be -1.994 -3.866 2.938
```

## Properties
formation energy from the elements	-0.60	eV/atom
density	9.18	g cm⁻³

---

DFT (GGA-PBE) results for crystalline Sc2Be2NiPt5 at its relaxed geometry.

extended XYZ file:
```
20
Lattice="3.440 0.000 0.000 0.000 9.167 0.000 0.000 0.000 9.167" Properties=species:S:1:pos:R:3 pbc="T T T"
Sc 0.000 6.211 1.628
Sc 0.000 2.956 7.539
Sc 0.000 1.628 2.956
Sc 0.000 7.539 6.211
Be 0.000 1.129 5.712
Be 0.000 8.038 3.454
Be 0.000 5.712 8.038
Be 0.000 3.454 1.129
Ni 0.000 0.000 0.000
Ni 0.000 4.583 4.583
Pt 1.720 1.901 0.645
Pt 1.720 7.265 8.522
Pt 1.720 0.645 7.265
Pt 1.720 6.485 3.939
Pt 1.720 8.522 1.901
Pt 1.720 2.682 5.228
Pt 1.720 5.228 6.485
Pt 1.720 3.939 2.682
Pt 1.720 4.583 0.000
Pt 1.720 0.000 4.583
```

## Properties
formation energy from the elements	-0.90	eV/atom
density	13.12	g cm⁻³

---

Which of these has the highest formation energy from the elements? BeNiPt2

---

What is the formation energy from the elements in the second record? -0.60 eV/atom

---

Which of these has the lowest formation energy from the elements? Sc2Be2NiPt5